(1)
Compound: La3Pr3Sn2
Source: Alexandria
Functional: PBE
Structure: relaxed

Unit cell a=6.3916 b=6.3916 c=6.3916 alpha=90.00 beta=90.00 gamma=90.00
Last column: magnetic moment on the atom in μB.
Fractional positions:
La (0.2498, 0.7502, 0.0000)  0.14
Pr (0.5000, 0.2509, 0.2509)  0.15
La (0.0000, 0.2498, 0.2498)  0.14
Sn (0.2533, 0.2533, 0.7467)  -0.01
Sn (0.7467, 0.7467, 0.2533)  -0.01
Pr (0.2509, 0.7491, 0.5000)  0.15
Pr (0.7491, 0.5000, 0.7491)  0.15
La (0.7502, 0.0000, 0.7502)  0.14

Summary:
- Calculated total energy: -40.2 eV per cell
- Energy of formation from the pure elements: -0.379 eV/atom



(2)
Compound: PmSmHo2S6
Source: Alexandria
Functional: PBE
Structure: relaxed

Unit cell a=6.9998 b=6.9998 c=7.3911 alpha=61.73 beta=61.73 gamma=59.99
Fractional positions:
S (0.3997, 0.7244, 0.7465)
Pm (0.8111, 0.8111, 0.5666)
S (0.9026, 0.6265, 0.2467)
S (0.1294, 0.3997, 0.7465)
S (0.6265, 0.2242, 0.2467)
Sm (0.3122, 0.3122, 0.0633)
Ho (0.5161, 0.5160, 0.4519)
S (0.2242, 0.9025, 0.2467)
S (0.7244, 0.1294, 0.7465)
Ho (0.0154, 0.0154, 0.9539)

Summary:
- Uncorrected formation energy: -2.0455 eV per atom
- Calculated total energy: -63.8 eV per cell



(3)
Compound: As3Cl
Source: Alexandria
Functional: PBE
Structure: relaxed

Unit cell a=8.5282 b=8.5282 c=3.5782 alpha=90.00 beta=90.00 gamma=128.05
Fractional positions:
Cl (0.6249, 0.3751, 0.2500)
As (0.6423, 0.0065, 0.7500)
Cl (0.3751, 0.6249, 0.7500)
As (0.0888, 0.9112, 0.7500)
As (0.3577, 0.9935, 0.2500)
As (0.0065, 0.6423, 0.2500)
As (0.9112, 0.0888, 0.2500)
As (0.9935, 0.3577, 0.7500)

Summary:
- Uncorrected formation energy: 0.0777 eV per atom
- Excess energy over the best structure of this formula in the dataset: 71 meV/atom
- Calculated total energy: -31.0 eV per cell



(4)
Compound: NbTl2TcO6
Source: Alexandria
Functional: PBE
Structure: relaxed

Unit cell a=5.7197 b=5.7197 c=5.7209 alpha=60.03 beta=60.03 gamma=90.00
Fractional positions:
O (0.7453, 0.7453, 0.5094)
Tl (0.2500, 0.7501, 0.5000)
O (0.2545, 0.7454, 0.0000)
O (0.7455, 0.7456, 0.0004)
Tc (0.5000, 0.5000, 0.0000)
Tl (0.7500, 0.2499, 0.5000)
O (0.7455, 0.2546, 0.0000)
Nb (0.0000, 0.0000, 0.0000)
O (0.2547, 0.2547, 0.4906)
O (0.2545, 0.2544, 0.9996)

Summary:
- Uncorrected formation energy: -1.5097 eV per atom
- Calculated total energy: -70.0 eV per cell



(5)
Compound: La2Al4CdCu3
Source: Alexandria
Functional: PBE
Structure: relaxed

Unit cell a=4.3533 b=4.3533 c=10.5179 alpha=90.00 beta=90.00 gamma=90.00
Fractional positions:
Al (0.0000, 0.0000, 0.0000)
Al (0.5000, 0.0000, 0.6468)
Al (0.5000, 0.5000, 0.0000)
Cu (0.5000, 0.0000, 0.8793)
Cd (0.5000, 0.5000, 0.5000)
Al (0.0000, 0.5000, 0.3532)
La (0.0000, 0.5000, 0.7569)
Cu (0.0000, 0.0000, 0.5000)
Cu (0.0000, 0.5000, 0.1207)
La (0.5000, 0.0000, 0.2431)

Summary:
- Calculated total energy: -41.8 eV per cell
- Energy of formation from the pure elements: -0.373 eV/atom



(6)
Compound: Ca2AlZnN
Source: Alexandria
Functional: PBE
Structure: relaxed

Unit cell a=5.7476 b=4.5617 c=5.7476 alpha=90.00 beta=90.00 gamma=90.00
Last column: magnetic moment on the atom in μB.
Fractional positions:
Ca (0.5000, 0.0000, 0.0000)  0.02
Al (0.0000, 0.0000, 0.0000)  0.06
N (0.5000, 0.5000, 0.5000)  1.11
Ca (0.0000, 0.0000, 0.5000)  0.00
Zn (0.0000, 0.5000, 0.0000)  -0.01

Summary:
- Uncorrected formation energy: 0.9068 eV per atom
- Excess energy over the best structure of this formula in the dataset: 1384 meV/atom
- Calculated total energy: -12.8 eV per cell



(7)
Compound: NaGa2Ag
Source: Alexandria
Functional: PBE
Structure: relaxed

Unit cell a=3.1177 b=3.1177 c=9.7047 alpha=80.76 beta=80.76 gamma=60.00
Fractional positions:
Na (0.5000, 0.5000, 0.5000)
Ag (0.0000, 0.0000, 0.0000)
Ga (0.2567, 0.2567, 0.2300)
Ga (0.7433, 0.7433, 0.7700)

Summary:
- Calculated total energy: -10.1 eV per cell
- Energy of formation from the pure elements: 0.025 eV/atom



(8)
Compound: TaTe2As
Source: Alexandria
Functional: PBE
Structure: relaxed

Unit cell a=4.8521 b=4.8521 c=7.2519 alpha=79.51 beta=79.51 gamma=43.77
Fractional positions:
Ta (0.2690, 0.2690, 0.3542)
Te (0.7354, 0.7354, 0.6618)
Te (0.9390, 0.9390, 0.0885)
As (0.5567, 0.5567, 0.3955)

Summary:
- Uncorrected formation energy: -0.1757 eV per atom
- Calculated total energy: -23.5 eV per cell



Number 1: M_tot 1.58 μB/f.u.. Number 2: M_tot 0.00 μB/f.u.. Number 3: M_tot 0.00 μB/f.u.. Number 4: M_tot 0.00 μB/f.u.. Number 5: M_tot 0.00 μB/f.u.. Number 6: M_tot 1.81 μB/f.u.. Number 7: M_tot 0.00 μB/f.u.. Number 8: M_tot 0.00 μB/f.u..